DFT (PBE-GGA) results for La5Y2Mg after structural relaxation.

The space group is Cm (No. 8) and the conventional cell measures 7.394, 11.614 and 7.387 Å, with angles of 90.00, 120.03 and 90.00 degrees. The inequivalent atoms are La at (0.000, 0.000, 0.000), La at (0.005, 0.000, 0.475), La at (0.033, 0.500, 0.000), La at (0.351, 0.250, 0.667), Y at (0.353, 0.240, 0.173) and Mg at (0.013, 0.500, 0.491).

As for the calculated formation energy: 0 kJ per mole of atoms. Its mass density is 5422 kg/m3.